Density functional theory data (PBE) for a relaxed structure of Cs4Rb5Pd2.

Lattice parameters (Å, degrees): 4.9608 11.6275 14.5469 105.42 90.00 90.00
Fractional positions:
Pd (0.0000, 0.0903, 0.5817)
Rb (0.0000, 0.4288, 0.6462)
Rb (0.0000, 0.5000, 0.0000)
Rb (0.0000, 0.1779, 0.1231)
Rb (0.0000, 0.5712, 0.3538)
Cs (0.5000, 0.1514, 0.4375)
Pd (0.0000, 0.9097, 0.4183)
Rb (0.0000, 0.8221, 0.8769)
Cs (0.5000, 0.1601, 0.7679)
Cs (0.5000, 0.8399, 0.2321)
Cs (0.5000, 0.8486, 0.5625)

## Properties
- magnetic moment (μB/cell) = 0.0
- formation energy (eV/atom) = 0.07
- total DFT energy (no corrections) (eV per formula unit) = -17.9